DFT (PBE-GGA) results for crystalline Th8GeC3Se4 at its relaxed geometry.

The magnetic moment is 0.00 μB per formula unit. As for the total energy: -0.2816 Ha/atom. For the raw formation energy, the calculation gives -1063 meV/atom.

Cell and atoms, written as CIF:
```
data_Th8GeC3Se4
_cell_length_a 7.995
_cell_length_b 8.360
_cell_length_c 7.995
_cell_angle_alpha 118.57
_cell_angle_beta 120.00
_cell_angle_gamma 90.00
_space_group_name_H-M_alt 'P 1'
_space_group_IT_number 1
loop_
_space_group_symop_operation_xyz
'x,y,z'
loop_
_atom_site_label
_atom_site_type_symbol
_atom_site_fract_x
_atom_site_fract_y
_atom_site_fract_z
Th1 Th 0.248 0.709 0.961
Th2 Th 0.248 0.709 0.495
Th3 Th 0.266 0.299 0.533
Th4 Th 0.714 0.709 0.961
Th5 Th 0.286 0.291 0.039
Th6 Th 0.734 0.701 0.467
Th7 Th 0.752 0.291 0.505
Th8 Th 0.752 0.291 0.039
Ge1 Ge 0.000 0.500 0.000
C1 C 0.500 0.500 0.000
C2 C 0.500 0.500 0.500
C3 C 0.000 0.500 0.500
Se1 Se 0.500 0.000 0.000
Se2 Se 0.500 0.000 0.500
Se3 Se 0.000 0.000 0.000
Se4 Se 0.000 0.000 0.500
```